Entry 1:
The following is a DFT calculation (PBE) of a relaxed Li3ReO6 crystal.

Lattice parameters (Å, degrees): 5.1651 5.6553 7.2179 90.00 91.57 90.00
Last column: nearest neighbours and their distance in Å.
Fractional coordinates of all 20 atoms:
Li 0.5495 0.9993 0.7418  5 O 1.97-2.10
Li 0.5000 0.5000 0.0000  6 O 2.14-2.19
Li 0.4505 0.0007 0.2582  5 O 1.97-2.10
Li 0.0495 0.5007 0.2418  5 O 1.97-2.10
Li 0.0000 0.0000 0.5000  6 O 2.14-2.19
Li 0.9505 0.4993 0.7582  5 O 1.97-2.10
Re 0.5000 0.5000 0.5000  6 O 1.85-1.92
Re 0.0000 0.0000 0.0000  6 O 1.85-1.92
O 0.7650 0.2385 0.9072  1 Re 1.92, 3 Li 2.08-2.14
O 0.7339 0.2606 0.5929  1 Re 1.92, 3 Li 2.07-2.14
O 0.6734 0.4995 0.2799  1 Re 1.85, 1 Li 1.97
O 0.3266 0.5005 0.7201  1 Re 1.85, 1 Li 1.97
O 0.2661 0.7394 0.4071  1 Re 1.92, 3 Li 2.07-2.14
O 0.2350 0.7615 0.0928  1 Re 1.92, 3 Li 2.08-2.14
O 0.2650 0.2615 0.4072  1 Re 1.92, 3 Li 2.08-2.14
O 0.2339 0.2394 0.0929  1 Re 1.92, 3 Li 2.07-2.14
O 0.1734 0.0005 0.7799  1 Re 1.85, 1 Li 1.97
O 0.8266 0.9995 0.2201  1 Re 1.85, 1 Li 1.97
O 0.7661 0.7606 0.9071  1 Re 1.92, 3 Li 2.07-2.14
O 0.7350 0.7385 0.5928  1 Re 1.92, 3 Li 2.08-2.14

Output
Calculated total energy (eV per atom): -6.246
Symmetry: No. 12
E_form (uncorrected) (eV/f.u.): -14.52

Entry 2:
The following is a DFT calculation (PBE) of a relaxed NaInAg6 crystal.

Lattice parameters (Å, degrees): 4.9290 5.9441 5.9441 119.98 90.00 90.00
Last column: nearest neighbours and their distance in Å.
Fractional coordinates of all 8 atoms:
Na 0.0000 0.0838 0.9162  12 Ag 2.97-3.02
In 0.5000 0.4163 0.5837  12 Ag 2.97-3.01
Ag 0.0000 0.0800 0.4146  8 Ag 2.94-3.00, 2 Na 2.97, 2 In 3.01
Ag 0.0000 0.5854 0.9200  8 Ag 2.94-3.00, 2 Na 2.97, 2 In 3.01
Ag 0.0000 0.5847 0.4153  8 Ag 2.95-3.00, 2 Na 2.97, 2 In 3.01
Ag 0.5000 0.4222 0.0865  8 Ag 2.92-3.02, 2 In 2.97, 2 Na 3.02
Ag 0.5000 0.9135 0.5778  8 Ag 2.92-3.02, 2 In 2.97, 2 Na 3.02
Ag 0.5000 0.9138 0.0862  8 Ag 2.92-3.02, 2 In 2.97, 2 Na 3.02

Output
Calculated total energy (eV per atom): -2.683
Symmetry: No. 38
Formation energy (meV/atom): -37.8

Entry 3:
The following is a DFT calculation (PBE) of a relaxed Na2SbPb3S6 crystal.

Lattice parameters (Å, degrees): 7.1555 7.1555 7.0274 99.61 99.61 119.77
Last column: nearest neighbours and their distance in Å.
Fractional coordinates of all 12 atoms:
Na 0.3336 0.6664 0.0000  6 S 2.89-2.96
Na 0.6664 0.3336 0.0000  6 S 2.89-2.96
Sb 0.0000 0.0000 0.0000  6 S 2.69-2.75
Pb 0.1691 0.8309 0.5000  6 S 2.89-3.11
Pb 0.8309 0.1691 0.5000  6 S 2.89-3.11
Pb 0.5000 0.5000 0.5000  6 S 2.94-3.05
S 0.9237 0.6139 0.7730  1 Sb 2.69, 2 Na 2.89-2.90, 2 Pb 2.93-2.94
S 0.7705 0.7705 0.2453  1 Sb 2.75, 3 Pb 2.89-3.05, 2 Na 2.96
S 0.0763 0.3861 0.2270  1 Sb 2.69, 2 Na 2.89-2.90, 2 Pb 2.93-2.94
S 0.6139 0.9237 0.7730  1 Sb 2.69, 2 Na 2.89-2.90, 2 Pb 2.93-2.94
S 0.2295 0.2295 0.7547  1 Sb 2.75, 3 Pb 2.89-3.05, 2 Na 2.96
S 0.3861 0.0763 0.2270  1 Sb 2.69, 2 Na 2.89-2.90, 2 Pb 2.93-2.94

Output
Calculated total energy (eV per atom): -4.165
Symmetry: No. 12
E_form (uncorrected) (eV/f.u.): -7.33

Entry 4:
The following is a DFT calculation (PBE) of a relaxed La4Pm2Ge3O2 crystal.

Lattice parameters (Å, degrees): 4.7890 4.7890 12.8839 100.71 100.71 90.00
Last column: nearest neighbours and their distance in Å.
Fractional coordinates of all 11 atoms:
La 0.4183 0.9183 0.8366  2 O 2.47
La 0.9183 0.4183 0.8366  2 O 2.47
La 0.0817 0.5817 0.1634  2 O 2.47
La 0.5817 0.0817 0.1634  2 O 2.47
Pm 0.2985 0.2985 0.5969  1 O 2.37
Pm 0.7015 0.7015 0.4031  1 O 2.37
Ge 0.0000 0.0000 0.0000  8 La 3.14
Ge 0.1767 0.1767 0.3534  1 Pm 3.03, 4 La 3.36
Ge 0.8233 0.8233 0.6466  1 Pm 3.03, 4 La 3.36
O 0.3938 0.3938 0.7877  1 Pm 2.37, 4 La 2.47
O 0.6062 0.6062 0.2123  1 Pm 2.37, 4 La 2.47

Output
Calculated total energy (eV per atom): -6.309
Symmetry: No. 139
E_form (uncorrected) (eV/f.u.): -16.42

Entry 5:
The following is a DFT calculation (PBE) of a relaxed MgBRu2 crystal.

Lattice parameters (Å, degrees): 2.9439 6.0640 5.9507 90.00 90.00 104.05
Last column: nearest neighbours and their distance in Å.
Fractional coordinates of all 8 atoms:
Mg 0.9981 0.9963 0.7500  1 B 2.46, 4 Ru 2.76
Mg 0.0019 0.0037 0.2500  1 B 2.46, 4 Ru 2.76
B 0.2076 0.4152 0.7500  6 Ru 2.19
B 0.7924 0.5848 0.2500  6 Ru 2.19
Ru 0.3447 0.6894 0.9977  3 B 2.19
Ru 0.6553 0.3106 0.0023  3 B 2.19
Ru 0.6553 0.3106 0.4977  3 B 2.19
Ru 0.3447 0.6894 0.5023  3 B 2.19

Output
Calculated total energy (eV per atom): -6.880
Symmetry: No. 63
Formation energy (meV/atom): -174.5

Entry 6:
The following is a DFT calculation (PBE) of a relaxed SrFeSi2 crystal.

Lattice parameters (Å, degrees): 4.7025 4.7025 4.7025 60.00 60.00 60.00
Last column: nearest neighbours and their distance in Å.
Fractional coordinates of all 4 atoms:
Fe 0.5000 0.5000 0.5000  4 Sr 2.88, 4 Si 2.88
Si 0.0000 0.0000 0.0000  4 Si 2.88, 4 Sr 2.88
Si 0.2500 0.2500 0.2500  4 Fe 2.88, 4 Si 2.88
Sr 0.7500 0.7500 0.7500  4 Fe 2.88, 4 Si 2.88

Output
Calculated total energy (eV per atom): -4.685
Symmetry: No. 216
E_form (uncorrected) (eV/f.u.): 2.25